BaYTe4: optimized geometry, PBE.

Lattice parameters (Å, degrees): 9.304 9.304 9.304 90.00 90.00 90.00
Space group F-43m (No. 216)
Inequivalent atoms, fractional coordinates:
Ba1 0.000 0.000 0.000 x4
Y1 0.250 0.250 0.250 x4
Te1 0.124 0.124 0.624 x16

## Properties
V = 33.559 Å³ per atom
Density of states at the Fermi level = 29.77 states/eV per cell
Excess energy over the best structure of this formula in the dataset = 898 meV/atom
Electronic total energy = -3.706 eV per atom